Computed, not measured: crystalline Li2CrW at its relaxed geometry at the PBE level of DFT.

Output
- Total magnetic moment: 0.00 Bohr magnetons per cell
- Energy relative to the elements: 1.10 eV per atom
- Space-group type: I-42d
- E_tot: -5.50 eV per atom

Unit cell a=6.8361 b=6.8361 c=5.3666 alpha=50.44 beta=50.44 gamma=90.00
With the nearest neighbours (Å) after each atom.
Element x y z (fractional)
W 0.7500 0.2500 0.5000  2 Cr 2.33, 4 Li 2.57
W 0.0000 0.0000 0.0000  2 Cr 2.33, 4 Li 2.57
Li 0.8750 0.8584 0.7500  2 Li 2.34, 2 Cr 2.41, 2 W 2.57
Li 0.3750 0.3916 0.7500  2 Li 2.34, 2 Cr 2.41, 2 W 2.57
Li 0.1416 0.6250 0.2500  2 Li 2.34, 2 Cr 2.41, 2 W 2.57
Li 0.6084 0.1250 0.2500  2 Li 2.34, 2 Cr 2.41, 2 W 2.57
Cr 0.5000 0.5000 0.0000  2 W 2.33, 4 Li 2.41
Cr 0.2500 0.7500 0.5000  2 W 2.33, 4 Li 2.41